1.
Compound: Zn2InF2
Source: the Alexandria database
Functional: PBE-GGA
Structure: relaxed

Output
Formation energy (no corrections) (eV/atom): -1.0880
Offset from the most stable computed form (meV per atom): 0.0
Total energy (eV/atom): -2.89

Cell lengths 3.859, 3.859, 5.894 Å; angles 70.89, 70.89, 90.00 degrees
Element x y z (fractional)
Zn 0.370 0.370 0.261
Zn 0.630 0.630 0.739
F 0.750 0.250 0.500
F 0.250 0.750 0.500
In 0.000 0.000 0.000



2.
Compound: Zn2InF2
Source: the Alexandria database
Functional: PBE-GGA
Structure: relaxed

Output
Formation energy (no corrections) (eV/atom): -0.8789
Offset from the most stable computed form (meV per atom): 209.1
Total energy (eV/atom): -2.68

Cell lengths 7.683, 7.683, 2.803 Å; angles 90.00, 90.00, 90.00 degrees
Element x y z (fractional)
Zn 0.132 0.632 0.500
Zn 0.632 0.868 0.500
Zn 0.868 0.368 0.500
Zn 0.368 0.132 0.500
F 0.387 0.887 0.000
F 0.887 0.613 0.000
F 0.613 0.113 0.000
F 0.113 0.387 0.000
In 0.000 0.000 0.000
In 0.500 0.500 0.000



3.
Compound: Zn2InF2
Source: the Alexandria database
Functional: PBE-GGA
Structure: relaxed

Output
Formation energy (no corrections) (eV/atom): -0.8657
Offset from the most stable computed form (meV per atom): 222.3
Total energy (eV/atom): -2.67

Cell lengths 7.753, 7.753, 2.831 Å; angles 90.00, 90.00, 90.00 degrees
Element x y z (fractional)
Zn 0.372 0.872 0.000
Zn 0.872 0.628 0.000
Zn 0.628 0.128 0.000
Zn 0.128 0.372 0.000
F 0.111 0.611 0.500
F 0.611 0.889 0.500
F 0.889 0.389 0.500
F 0.389 0.111 0.500
In 0.000 0.000 0.000
In 0.500 0.500 0.000